The following is a DFT calculation (GGA-PBE) of an optimized crystal structure of Ge3AuCl.

Computed properties:
For the uncorrected formation energy, the calculation gives 0.801 eV per atom. The density comes out at 6295 kg/m3. The value obtained for the magnetization is 0.0 μB/f.u. The polymorph energy (0 for the lowest one) comes out at 271.4 meV/atom.

a b c (Å): 4.9160 4.9160 4.9160
angles (deg): 90.00 90.00 90.00
Fractional coordinates of all 5 atoms:
Ge 0.0000 0.5000 0.0000
Ge 0.5000 0.0000 0.0000
Ge 0.0000 0.0000 0.5000
Cl 0.0000 0.0000 0.0000
Au 0.5000 0.5000 0.5000

***

The following is a DFT calculation (GGA-PBE) of an optimized crystal structure of Ge2AuCl.

Computed properties:
For the uncorrected formation energy, the calculation gives 0.098 eV per atom. The density comes out at 5601 kg/m3. The value obtained for the magnetization is 0.0 μB/f.u. The polymorph energy (0 for the lowest one) comes out at 276.1 meV/atom.

a b c (Å): 5.9362 5.9362 7.6161
angles (deg): 67.06 67.06 90.00
Fractional coordinates of all 8 atoms:
Au 0.0000 0.0000 0.0000
Au 0.7500 0.2500 0.5000
Ge 0.8750 0.9226 0.7500
Ge 0.0774 0.6250 0.2500
Ge 0.6726 0.1250 0.2500
Ge 0.3750 0.3274 0.7500
Cl 0.5000 0.5000 0.0000
Cl 0.2500 0.7500 0.5000

***

The following is a DFT calculation (GGA-PBE) of an optimized crystal structure of GeAuCl2.

Computed properties:
For the uncorrected formation energy, the calculation gives 0.061 eV per atom. The density comes out at 5890 kg/m3. The value obtained for the magnetization is 0.0 μB/f.u. The polymorph energy (0 for the lowest one) comes out at 0.0 meV/atom.

a b c (Å): 4.7335 4.7335 9.1998
angles (deg): 75.09 75.09 90.00
Fractional coordinates of all 8 atoms:
Au 0.7500 0.2500 0.5000
Au 0.0000 0.0000 0.0000
Cl 0.8750 0.8780 0.7500
Cl 0.1220 0.6250 0.2500
Cl 0.6280 0.1250 0.2500
Cl 0.3750 0.3720 0.7500
Ge 0.5000 0.5000 0.0000
Ge 0.2500 0.7500 0.5000

***

The following is a DFT calculation (GGA-PBE) of an optimized crystal structure of Ge3AuCl.

Computed properties:
For the uncorrected formation energy, the calculation gives 0.530 eV per atom. The density comes out at 5512 kg/m3. The value obtained for the magnetization is 0.0 μB/f.u. The polymorph energy (0 for the lowest one) comes out at 0.0 meV/atom.

a b c (Å): 5.1383 5.1383 5.1383
angles (deg): 90.00 90.00 90.00
Fractional coordinates of all 5 atoms:
Cl 0.5000 0.5000 0.5000
Au 0.0000 0.0000 0.0000
Ge 0.0000 0.0000 0.5000
Ge 0.5000 0.0000 0.0000
Ge 0.0000 0.5000 0.0000

***

The following is a DFT calculation (GGA-PBE) of an optimized crystal structure of Ge2Au2Cl.

Computed properties:
For the uncorrected formation energy, the calculation gives 0.068 eV per atom. The density comes out at 8379 kg/m3. The value obtained for the magnetization is 0.0 μB/f.u. The polymorph energy (0 for the lowest one) comes out at 5.7 meV/atom.

a b c (Å): 4.7979 4.7979 5.9989
angles (deg): 66.43 66.43 90.00
Fractional coordinates of all 5 atoms:
Au 0.3602 0.3602 0.2795
Au 0.6398 0.6398 0.7205
Ge 0.2500 0.7500 0.5000
Ge 0.7500 0.2500 0.5000
Cl 0.0000 0.0000 0.0000

***

The following is a DFT calculation (GGA-PBE) of an optimized crystal structure of Ge2AuCl.

Computed properties:
For the uncorrected formation energy, the calculation gives 0.185 eV per atom. The density comes out at 8117 kg/m3. The value obtained for the magnetization is 0.0 μB/f.u. The polymorph energy (0 for the lowest one) comes out at 363.2 meV/atom.

a b c (Å): 4.7809 4.7809 4.7809
angles (deg): 60.00 60.00 60.00
Fractional coordinates of all 4 atoms:
Au 0.5000 0.5000 0.5000
Ge 0.7500 0.7500 0.7500
Ge 0.2500 0.2500 0.2500
Cl 0.0000 0.0000 0.0000

***

The following is a DFT calculation (GGA-PBE) of an optimized crystal structure of GeAuCl3.

Computed properties:
For the uncorrected formation energy, the calculation gives -0.097 eV per atom. The density comes out at 4836 kg/m3. The value obtained for the magnetization is 0.0 μB/f.u. The polymorph energy (0 for the lowest one) comes out at 0.0 meV/atom.

a b c (Å): 5.0540 5.0540 5.0540
angles (deg): 90.00 90.00 90.00
Fractional coordinates of all 5 atoms:
Ge 0.0000 0.0000 0.0000
Cl 0.0000 0.0000 0.5000
Cl 0.0000 0.5000 0.0000
Cl 0.5000 0.0000 0.0000
Au 0.5000 0.5000 0.5000

***

The following is a DFT calculation (GGA-PBE) of an optimized crystal structure of GeAuCl2.

Computed properties:
For the uncorrected formation energy, the calculation gives 0.122 eV per atom. The density comes out at 6766 kg/m3. The value obtained for the magnetization is 0.0 μB/f.u. The polymorph energy (0 for the lowest one) comes out at 61.4 meV/atom.

a b c (Å): 4.9075 4.9075 4.9075
angles (deg): 60.00 60.00 60.00
Fractional coordinates of all 4 atoms:
Au 0.5000 0.5000 0.5000
Cl 0.2500 0.2500 0.2500
Cl 0.7500 0.7500 0.7500
Ge 0.0000 0.0000 0.0000

***

The following is a DFT calculation (GGA-PBE) of an optimized crystal structure of Ge2AuCl.

Computed properties:
For the uncorrected formation energy, the calculation gives -0.178 eV per atom. The density comes out at 5793 kg/m3. The value obtained for the magnetization is 0.0 μB/f.u. The polymorph energy (0 for the lowest one) comes out at 0.0 meV/atom.

a b c (Å): 4.3139 4.3139 7.1641
angles (deg): 72.48 72.48 60.00
Fractional coordinates of all 4 atoms:
Ge 0.8771 0.8771 0.3686
Ge 0.1229 0.1229 0.6314
Cl 0.0000 0.0000 0.0000
Au 0.5000 0.5000 0.5000

***

The following is a DFT calculation (GGA-PBE) of an optimized crystal structure of Ge2Au2Cl.

Computed properties:
For the uncorrected formation energy, the calculation gives 0.062 eV per atom. The density comes out at 9486 kg/m3. The value obtained for the magnetization is 0.0 μB/f.u. The polymorph energy (0 for the lowest one) comes out at 0.0 meV/atom.

a b c (Å): 8.0306 8.0306 3.1198
angles (deg): 90.00 90.00 90.00
Fractional coordinates of all 10 atoms:
Au 0.3468 0.8468 0.0000
Au 0.6532 0.1532 0.0000
Au 0.1532 0.3468 0.0000
Au 0.8468 0.6532 0.0000
Cl 0.5000 0.5000 0.0000
Cl 0.0000 0.0000 0.0000
Ge 0.8608 0.3608 0.5000
Ge 0.1392 0.6392 0.5000
Ge 0.3608 0.1392 0.5000
Ge 0.6392 0.8608 0.5000

***

The following is a DFT calculation (GGA-PBE) of an optimized crystal structure of GeP2AuCl.

Computed properties:
For the uncorrected formation energy, the calculation gives 0.824 eV per atom. The density comes out at 5597 kg/m3. The value obtained for the magnetization is 1.0 μB/f.u. The polymorph energy (0 for the lowest one) comes out at 0.0 meV/atom.

a b c (Å): 4.8010 4.8010 4.7236
angles (deg): 90.00 90.00 90.00
Site moments in Bohr magnetons follow the coordinates.
Fractional coordinates of all 5 atoms:
P 0.5000 0.0000 0.0000  0.20
P 0.0000 0.5000 0.0000  0.20
Ge 0.0000 0.0000 0.0000  0.01
Cl 0.0000 0.0000 0.5000  0.08
Au 0.5000 0.5000 0.5000  0.05

***

The following is a DFT calculation (GGA-PBE) of an optimized crystal structure of GePAuCl2.

Computed properties:
For the uncorrected formation energy, the calculation gives 0.503 eV per atom. The density comes out at 5087 kg/m3. The value obtained for the magnetization is 0.0 μB/f.u. The polymorph energy (0 for the lowest one) comes out at 107.9 meV/atom.

a b c (Å): 4.9306 4.9306 4.9881
angles (deg): 90.00 90.00 90.00
Fractional coordinates of all 5 atoms:
Ge 0.5000 0.5000 0.5000
Cl 0.0000 0.5000 0.0000
Cl 0.5000 0.0000 0.0000
Au 0.0000 0.0000 0.0000
P 0.0000 0.0000 0.5000

***

The following is a DFT calculation (GGA-PBE) of an optimized crystal structure of GePAuCl2.

Computed properties:
For the uncorrected formation energy, the calculation gives 0.395 eV per atom. The density comes out at 5316 kg/m3. The value obtained for the magnetization is 0.4 μB/f.u. The polymorph energy (0 for the lowest one) comes out at 0.0 meV/atom.

a b c (Å): 4.7293 4.7293 5.1879
angles (deg): 90.00 90.00 90.00
Site moments in Bohr magnetons follow the coordinates.
Fractional coordinates of all 5 atoms:
Cl 0.0000 0.5000 0.0000  0.02
Cl 0.5000 0.0000 0.0000  0.02
Au 0.5000 0.5000 0.5000  -0.01
Ge 0.0000 0.0000 0.0000  0.00
P 0.0000 0.0000 0.5000  0.17